[1]
## BaLa2AgIr (PBE-GGA)

Data for a relaxed structure of BaLa2AgIr.

The crystal system is tetragonal. Its formation energy is -4.77 kcal/mol of atoms. Its electronic total energy is -4.9047 eV/atom.

It has space group P4/mmm (No. 123), with a = 5.520 Å, b = 5.520 Å, c = 6.352 Å, α = 90.00°, β = 90.00° and γ = 90.00°. The distinct sites, in fractional coordinates, are Ba at (0.000, 0.000, 0.000), La at (0.000, 0.500, 0.500), Ag at (0.500, 0.500, 0.000) and Ir at (0.000, 0.000, 0.500).

---

[2]
## BaLa2AgIr (PBE-GGA)

Data for a relaxed structure of BaLa2AgIr.

The crystal system is tetragonal. Its formation energy is -4.45 kcal/mol of atoms. Its electronic total energy is -4.8910 eV/atom.

It has space group P4/mmm (No. 123), with a = 5.513 Å, b = 5.513 Å, c = 5.634 Å, α = 90.00°, β = 90.00° and γ = 90.00°. The distinct sites, in fractional coordinates, are Ba at (0.000, 0.000, 0.000), La at (0.000, 0.500, 0.500), Ag at (0.500, 0.500, 0.000) and Ir at (0.500, 0.500, 0.500).

---

[3]
## BaLaAgIr2 (PBE-GGA)

Data for a relaxed structure of BaLaAgIr2.

The crystal system is tetragonal. Its formation energy is 41.27 kcal/mol of atoms. Its electronic total energy is -3.6950 eV/atom.

It has space group P4/mmm (No. 123), with a = 5.124 Å, b = 5.124 Å, c = 5.709 Å, α = 90.00°, β = 90.00° and γ = 90.00°. The distinct sites, in fractional coordinates, are Ba at (0.000, 0.000, 0.000), La at (0.000, 0.000, 0.500), Ag at (0.500, 0.500, 0.500) and Ir at (0.000, 0.500, 0.000).

---

[4]
## Ba2MgAgIr (PBE-GGA)

Data for a relaxed structure of Ba2MgAgIr.

The crystal system is tetragonal. Its formation energy is -1.75 kcal/mol of atoms. Its electronic total energy is -3.5066 eV/atom.

It has space group P4/mmm (No. 123), with a = 6.043 Å, b = 6.043 Å, c = 5.057 Å, α = 90.00°, β = 90.00° and γ = 90.00°. The distinct sites, in fractional coordinates, are Ba at (0.000, 0.500, 0.000), Mg at (0.000, 0.000, 0.500), Ag at (0.500, 0.500, 0.500) and Ir at (0.000, 0.000, 0.000).

---

[5]
## BaMn2AgIr (PBE-GGA)

Data for a relaxed structure of BaMn2AgIr.

The crystal system is tetragonal. Its formation energy is 13.98 kcal/mol of atoms. Its electronic total energy is -5.7887 eV/atom.

It has space group P4/mmm (No. 123), with a = 4.966 Å, b = 4.966 Å, c = 5.970 Å, α = 90.00°, β = 90.00° and γ = 90.00°. The distinct sites, in fractional coordinates, are Ba at (0.000, 0.000, 0.000), Mn at (0.000, 0.500, 0.500), Ag at (0.500, 0.500, 0.000) and Ir at (0.000, 0.000, 0.500).

---

[6]
## Ba2AgIrN (PBE-GGA)

Data for a relaxed structure of Ba2AgIrN.

The crystal system is tetragonal. Its electronic total energy is -5.2303 eV/atom.

It has space group P4/mmm (No. 123), with a = 5.862 Å, b = 5.862 Å, c = 3.817 Å, α = 90.00°, β = 90.00° and γ = 90.00°. The distinct sites, in fractional coordinates, are Ba at (0.000, 0.500, 0.000), Ag at (0.000, 0.000, 0.500), Ir at (0.500, 0.500, 0.500) and N at (0.500, 0.500, 0.000).

---

[7]
## Ba2AgIrO6 (PBE-GGA)

Data for a relaxed structure of Ba2AgIrO6.

The crystal system is cubic. Its electronic total energy is -5.9564 eV/atom.

It has space group Fm-3m (No. 225), with a = 8.478 Å, b = 8.478 Å, c = 8.478 Å, α = 90.00°, β = 90.00° and γ = 90.00°. The distinct sites, in fractional coordinates, are Ba at (0.250, 0.250, 0.250), Ag at (0.000, 0.000, 0.000), Ir at (0.000, 0.000, 0.500) and O at (0.000, 0.000, 0.271).

---

[8]
## Ba3Ag2IrO6 (PBE-GGA)

Data for a relaxed structure of Ba3Ag2IrO6.

The crystal system is trigonal. Its electronic total energy is -5.5626 eV/atom.

It has space group P-3m1 (No. 164), with a = 5.9764 Å, b = 5.9764 Å, c = 6.9984 Å, α = 90.00°, β = 90.00° and γ = 120.00°. The distinct sites, in fractional coordinates, are Ba at (0.0000, 0.0000, 0.0000), Ba at (0.3333, 0.6667, 0.6226), Ag at (0.3333, 0.6667, 0.1183), Ir at (0.0000, 0.0000, 0.5000) and O at (0.1561, 0.3122, 0.3340).

---

[9]
## BaAgPIr (PBE-GGA)

Data for a relaxed structure of BaAgPIr.

The crystal system is tetragonal. Its formation energy is -13.69 kcal/mol of atoms. Its electronic total energy is -5.3547 eV/atom.

It has space group P4/nmm (No. 129, origin choice 2), with a = 3.991 Å, b = 3.991 Å, c = 11.967 Å, α = 90.00°, β = 90.00° and γ = 90.00°. The distinct sites, in fractional coordinates, are Ba at (0.250, 0.250, 0.249), Ag at (0.250, 0.750, 0.000), P at (0.250, 0.250, 0.610) and Ir at (0.250, 0.750, 0.500).

---

[10]
## Ba8AgIrPt2 (PBE-GGA)

Data for a relaxed structure of Ba8AgIrPt2.

The crystal system is monoclinic. Its formation energy is -9.20 kcal/mol of atoms. Its electronic total energy is -3.6636 eV/atom.

It has space group P2/m (No. 10), with a = 7.529 Å, b = 9.445 Å, c = 7.687 Å, α = 90.00°, β = 90.36° and γ = 90.00°. The distinct sites, in fractional coordinates, are Ba at (0.214, 0.000, 0.338), Ba at (0.234, 0.500, 0.317), Ba at (0.271, 0.268, 0.822), Ag at (0.500, 0.000, 0.000), Ir at (0.500, 0.500, 0.000) and Pt at (0.000, 0.254, 0.500).

---

[11]
## Ba2ReAgIr (PBE-GGA)

Data for a relaxed structure of Ba2ReAgIr.

The crystal system is tetragonal. Its formation energy is 28.20 kcal/mol of atoms. Its electronic total energy is -4.3781 eV/atom.

It has space group P4/mmm (No. 123), with a = 5.884 Å, b = 5.884 Å, c = 5.165 Å, α = 90.00°, β = 90.00° and γ = 90.00°. The distinct sites, in fractional coordinates, are Ba at (0.000, 0.500, 0.000), Re at (0.000, 0.000, 0.500), Ag at (0.500, 0.500, 0.500) and Ir at (0.500, 0.500, 0.000).

---

[12]
## Ba2SiAgIr (PBE-GGA)

Data for a relaxed structure of Ba2SiAgIr.

The crystal system is tetragonal. Its electronic total energy is -4.4614 eV/atom.

It has space group P4/mmm (No. 123), with a = 6.163 Å, b = 6.163 Å, c = 4.579 Å, α = 90.00°, β = 90.00° and γ = 90.00°. The distinct sites, in fractional coordinates, are Ba at (0.000, 0.500, 0.000), Si at (0.000, 0.000, 0.500), Ag at (0.500, 0.500, 0.500) and Ir at (0.000, 0.000, 0.000).